Record 1
The following is a PBE calculation of a geometry-optimized MnHgPBr structure, from Alexandria.

a b c (Å): 3.264 3.359 8.655
angles (deg): 90.00 100.47 90.00
Element x y z (fractional)
Mn 0.000 0.000 0.000
Hg 0.309 0.500 0.605
P 0.469 0.500 0.936
Br 0.133 0.000 0.277

Computed properties:
Energy, eV for the cell shown: -16.8
Space group: Pm
Offset from the most stable computed form, meV/atom: 123
Formation energy without anion corrections, eV/atom: -0.06

***

Record 2
The following is a PBE calculation of a geometry-optimized InNi2Pd2 structure, from Alexandria.

a b c (Å): 7.190 7.190 2.962
angles (deg): 90.00 90.00 90.00
Element x y z (fractional)
In 0.000 0.000 0.000
In 0.500 0.500 0.000
Ni 0.158 0.342 0.500
Ni 0.342 0.842 0.500
Ni 0.658 0.158 0.500
Ni 0.842 0.658 0.500
Pd 0.137 0.637 0.000
Pd 0.363 0.137 0.000
Pd 0.637 0.863 0.000
Pd 0.863 0.363 0.000

Computed properties:
Energy, eV for the cell shown: -49.0
Space group: P4/mbm
Formation energy from the elements, meV per atom: 39.9
Offset from the most stable computed form, meV/atom: 57

***

Record 3
The following is a PBE calculation of a geometry-optimized Mg3TeP structure, from Alexandria.

a b c (Å): 5.324 5.324 5.324
angles (deg): 90.00 90.00 90.00
Element x y z (fractional)
Mg 0.000 0.000 0.500
Mg 0.000 0.500 0.000
Mg 0.500 0.000 0.000
Te 0.000 0.000 0.000
P 0.500 0.500 0.500

Computed properties:
Energy, eV for the cell shown: -11.0
Space group: Pm-3m
Offset from the most stable computed form, meV/atom: 852
Formation energy without anion corrections, eV/atom: 0.47

***

Record 4
The following is a PBE calculation of a geometry-optimized NpSnAu11 structure, from Alexandria.

a b c (Å): 7.141 7.141 7.635
angles (deg): 98.19 98.19 133.94
Element x y z (fractional)
Np 0.000 0.000 0.000
Sn 0.000 0.000 0.500
Au 0.000 0.500 0.000
Au 0.005 0.653 0.661
Au 0.288 0.500 0.791
Au 0.347 0.995 0.339
Au 0.500 0.000 0.000
Au 0.500 0.288 0.791
Au 0.500 0.500 0.500
Au 0.500 0.712 0.209
Au 0.653 0.005 0.661
Au 0.712 0.500 0.209
Au 0.995 0.347 0.339

Computed properties:
Energy, eV for the cell shown: -53.3
Space group: C2/m
Formation energy from the elements, meV per atom: -21.3

***

Record 5
The following is a PBE calculation of a geometry-optimized SnSbRu3 structure, from Alexandria.

a b c (Å): 4.789 4.789 4.789
angles (deg): 90.00 90.00 90.00
Element x y z (fractional)
Sn 0.000 0.000 0.000
Sb 0.500 0.500 0.500
Ru 0.000 0.500 0.500
Ru 0.500 0.000 0.500
Ru 0.500 0.500 0.000

Computed properties:
Energy, eV for the cell shown: -29.3
Space group: Pm-3m
Offset from the most stable computed form, meV/atom: 0
Formation energy without anion corrections, eV/atom: 1.33

***

Record 6
The following is a PBE calculation of a geometry-optimized AcHf2Sc structure, from Alexandria.

a b c (Å): 3.294 3.294 34.727
angles (deg): 90.00 90.00 120.00
Element x y z (fractional)
Ac 0.000 0.000 0.000
Ac 0.333 0.667 0.667
Ac 0.667 0.333 0.333
Hf 0.000 0.000 0.094
Hf 0.000 0.000 0.906
Hf 0.333 0.667 0.572
Hf 0.333 0.667 0.761
Hf 0.667 0.333 0.239
Hf 0.667 0.333 0.428
Sc 0.000 0.000 0.500
Sc 0.333 0.667 0.167
Sc 0.667 0.333 0.833

Computed properties:
Energy, eV for the cell shown: -85.7
Space group: R-3m
Formation energy from the elements, meV per atom: 444.9

***

Record 7
The following is a PBE calculation of a geometry-optimized TaAlGaCu structure, from Alexandria.

a b c (Å): 3.822 3.927 3.986
angles (deg): 90.00 90.00 90.00
Element x y z (fractional)
Ta 0.000 0.000 0.000
Al 0.500 0.000 0.500
Ga 0.500 0.500 0.000
Cu 0.000 0.500 0.500

Computed properties:
Energy, eV for the cell shown: -23.6
Space group: Pmmm
Formation energy from the elements, meV per atom: -217.2

***

Record 8
The following is a PBE calculation of a geometry-optimized U2SbSe structure, from Alexandria.

a b c (Å): 7.295 7.295 7.295
angles (deg): 90.00 90.00 90.00
Element x y z (fractional)
U 0.250 0.250 0.250
U 0.250 0.250 0.750
U 0.250 0.750 0.250
U 0.250 0.750 0.750
U 0.750 0.250 0.250
U 0.750 0.250 0.750
U 0.750 0.750 0.250
U 0.750 0.750 0.750
Sb 0.000 0.000 0.000
Sb 0.000 0.500 0.500
Sb 0.500 0.000 0.500
Sb 0.500 0.500 0.000
Se 0.000 0.000 0.500
Se 0.000 0.500 0.000
Se 0.500 0.000 0.000
Se 0.500 0.500 0.500

Computed properties:
Energy, eV for the cell shown: -128.4
Space group: Fm-3m
Offset from the most stable computed form, meV/atom: 93
Formation energy without anion corrections, eV/atom: -0.48